1.
Compound: LaPrRh2
Source: Alexandria via LeMat-Bulk
Functional: PBE
Structure: relaxed

* ρ: 8793 kg/m3
* crystal system: tetragonal
* formation enthalpy at 0 K: -0.63 eV/atom
* magnetic moment: 0.0 μB per formula unit

a b c (Å): 5.136 5.136 3.477
angles (deg): 90.00 90.00 90.00
Space group P4/mmm (No. 123)
Unique sites:
La  0.000  0.000  0.000 x1
Pr  0.500  0.500  0.000 x1
Rh  0.000  0.500  0.500 x2

=====

2.
Compound: LaPr3Rh2
Source: Alexandria via LeMat-Bulk
Functional: PBE
Structure: relaxed

* ρ: 7005 kg/m3
* crystal system: orthorhombic
* formation enthalpy at 0 K: -0.46 eV/atom
* magnetic moment: 0.0 μB per formula unit
* ΔE to the lowest computed polymorph: 35 meV per atom

a b c (Å): 7.023 14.061 7.369
angles (deg): 90.00 90.00 90.00
Space group Ibam (No. 72)
Unique sites:
La  0.000  0.000  0.000 x4
Pr  0.000  0.238  0.250 x8
Pr  0.000  0.500  0.250 x4
Rh  0.224  0.367  0.000 x8

=====

3.
Compound: LaPrRh
Source: Alexandria via LeMat-Bulk
Functional: PBE
Structure: relaxed

* ρ: 6429 kg/m3
* crystal system: trigonal
* formation enthalpy at 0 K: -0.50 eV/atom
* magnetic moment: 0.0 μB per formula unit
* ΔE to the lowest computed polymorph: 25 meV per atom

a b c (Å): 4.1726 4.1726 6.5560
angles (deg): 90.00 90.00 120.00
Space group P3m1 (No. 156)
Unique sites:
La  0.0000  0.0000  0.0000 x1
Pr  0.6667  0.3333  0.5285 x1
Rh  0.3333  0.6667  0.7709 x1

=====

4.
Compound: La2PrRh9
Source: Alexandria via LeMat-Bulk
Functional: PBE
Structure: relaxed

* ρ: 10104 kg/m3
* crystal system: trigonal
* formation enthalpy at 0 K: -0.51 eV/atom
* magnetic moment: 0.0 μB per formula unit

a b c (Å): 5.3434 5.3434 26.8154
angles (deg): 90.00 90.00 120.00
Space group R-3m (No. 166, hexagonal axes)
Unique sites:
La  0.0000  0.0000  0.1386 x6
Pr  0.0000  0.0000  0.0000 x3
Rh  0.0000  0.0000  0.3326 x6
Rh  0.0000  0.0000  0.5000 x3
Rh  0.0012  0.5006  0.0809 x18

=====

5.
Compound: LaPr3Rh3
Source: Alexandria via LeMat-Bulk
Functional: PBE
Structure: relaxed

* ρ: 7293 kg/m3
* crystal system: tetragonal
* formation enthalpy at 0 K: -0.56 eV/atom
* magnetic moment: 0.0 μB per formula unit
* ΔE to the lowest computed polymorph: 0 meV per atom

a b c (Å): 11.680 11.680 5.810
angles (deg): 90.00 90.00 90.00
Space group P4_2/mnm (No. 136)
Unique sites:
La  0.124  0.124  0.000 x4
Pr  0.119  0.625  0.000 x8
Pr  0.130  0.870  0.500 x4
Rh  0.118  0.882  0.000 x4
Rh  0.127  0.367  0.000 x8

=====

6.
Compound: LaPr3Rh2
Source: Alexandria via LeMat-Bulk
Functional: PBE
Structure: relaxed

* ρ: 6790 kg/m3
* crystal system: monoclinic
* formation enthalpy at 0 K: -0.49 eV/atom
* magnetic moment: 0.0 μB per formula unit
* ΔE to the lowest computed polymorph: 0 meV per atom

a b c (Å): 17.101 4.276 12.100
angles (deg): 90.00 121.96 90.00
Space group C2/m (No. 12)
Unique sites:
La  0.062  0.000  0.188 x4
Pr  0.063  0.500  0.690 x4
Pr  0.185  0.000  0.559 x4
Pr  0.190  0.500  0.065 x4
Rh  0.124  0.000  0.877 x4
Rh  0.125  0.500  0.370 x4

=====

7.
Compound: LaPr4Rh
Source: Alexandria via LeMat-Bulk
Functional: PBE
Structure: relaxed

* ρ: 6709 kg/m3
* crystal system: monoclinic
* formation enthalpy at 0 K: -0.17 eV/atom
* magnetic moment: 0.0 μB per formula unit

a b c (Å): 17.902 7.747 6.116
angles (deg): 90.00 109.92 90.00
Space group C2/m (No. 12)
Unique sites:
La  0.199  0.000  0.199 x4
Pr  0.000  0.206  0.000 x4
Pr  0.115  0.249  0.614 x8
Pr  0.170  0.500  0.170 x4
Rh  0.000  0.500  0.270 x4

=====

8.
Compound: LaPr2Rh
Source: Alexandria via LeMat-Bulk
Functional: PBE
Structure: relaxed

* ρ: 7226 kg/m3
* crystal system: tetragonal
* formation enthalpy at 0 K: -0.27 eV/atom
* magnetic moment: 0.0 μB per formula unit
* ΔE to the lowest computed polymorph: 159 meV per atom

a b c (Å): 3.645 3.645 9.059
angles (deg): 90.00 90.00 90.00
Space group P4/mmm (No. 123)
Unique sites:
La  0.000  0.000  0.000 x1
Pr  0.500  0.500  0.314 x2
Rh  0.000  0.000  0.500 x1